Entry from Alexandria: crystalline Lu2ZrTl at its relaxed geometry (PBE-GGA).

## Properties
For the formation energy, the calculation gives -150 meV per atom. For the energy above the most stable polymorph in this dataset, the calculation gives 0.0 meV per atom. As for the total DFT energy (no corrections): -5.14 eV per atom. As for the volume: 105 Å³/cell. Its density of states at the Fermi level is 3.2 states/eV/f.u. As for the total magnetization: 0.00 μB per cell.

a b c (Å): 3.444 3.444 8.810
angles (deg): 90.00 90.00 90.00
Positions (direct):
Zr 0.500 0.500 0.500
Lu 0.000 0.000 0.249
Lu 0.000 0.000 0.751
Tl 0.500 0.500 0.000